Density functional theory data (PBE-GGA) for a relaxed structure of TmOsPb2O8.

extended XYZ file:
```
12
Lattice="-1.0929 4.8869 0.7199 -1.1482 -0.9352 4.8367 6.3932 1.1729 1.7446" Properties=species:S:1:pos:R:3 pbc="T T T"
Tm 3.1966 0.5865 0.8723
Os 0.0000 0.0000 0.0000
Pb 3.6823 2.8568 4.0886
Pb 0.4699 2.2678 3.2125
O 0.2685 0.3807 4.4774
O 4.7359 4.0998 5.8499
O 0.3062 4.0874 1.8472
O 3.8836 4.7440 2.8238
O -0.5838 1.0249 1.4513
O 3.8459 1.0373 5.4540
O 1.6380 3.3377 4.7356
O 2.5142 1.7870 2.5655
```

Computed properties:
energy relative to the elements, uncorrected = -17.426 eV/f.u.
DOS(E_F) = 3.52 states/eV/cell

=====

Density functional theory data (PBE-GGA) for a relaxed structure of TmOsPb2O6.

extended XYZ file:
```
20
Lattice="5.8566 0.0000 -0.0353 0.0000 5.8472 0.0000 0.0009 0.0000 8.2496" Properties=species:S:1:pos:R:3 pbc="T T T"
Tm 2.9283 0.0000 -0.0176
Tm 0.0005 2.9236 4.1248
Os 2.9288 0.0000 4.1072
Os 0.0000 2.9236 0.0000
Pb 0.0518 5.7178 2.0460
Pb 2.9806 3.0530 6.1532
Pb 5.8058 0.1294 6.1683
Pb 2.8770 2.7942 2.0612
O 1.5345 4.1508 0.3093
O 4.4633 4.6201 4.4165
O 4.3230 1.6964 7.9050
O 1.3942 1.2272 3.7978
O 1.7216 4.2943 3.8068
O 4.6504 4.4766 7.9140
O 4.1360 1.5529 4.4076
O 1.2072 1.3707 0.3004
O 5.4500 2.9892 1.9076
O 2.5222 5.7817 6.0500
O 0.4075 2.8581 6.3068
O 3.3354 0.0655 2.1643
```

Computed properties:
energy relative to the elements, uncorrected = -16.939 eV/f.u.
DOS(E_F) = 4.39 states/eV/cell

=====

Density functional theory data (PBE-GGA) for a relaxed structure of TmOs2PbO8.

extended XYZ file:
```
12
Lattice="-4.1468 1.7238 -3.9468 4.8703 -2.9232 -1.8655 -3.3772 -6.1711 0.8531" Properties=species:S:1:pos:R:3 pbc="T T T"
Tm -1.6886 -3.0856 0.4265
Os -1.9100 -1.2302 -3.0588
Os -0.7438 -6.1403 -1.9004
Pb 0.0000 0.0000 0.0000
O 1.7794 -1.5299 -2.5377
O -1.5548 -1.7476 -1.3290
O -3.6882 -0.8600 -3.3538
O -4.4332 -5.8407 -2.4215
O 1.0344 -6.5106 -1.6054
O -1.0990 -5.6229 -3.6301
O -1.4668 -5.0086 -0.6425
O -1.1870 -2.3619 -4.3167
```

Computed properties:
energy relative to the elements, uncorrected = -15.906 eV/f.u.
DOS(E_F) = 5.03 states/eV/cell

=====

Density functional theory data (PBE-GGA) for a relaxed structure of Tm2OsPbO8.

extended XYZ file:
```
12
Lattice="-1.5043 4.3595 -1.8302 -1.1221 -2.2434 -4.2794 -6.2897 -1.2114 2.2842" Properties=species:S:1:pos:R:3 pbc="T T T"
Tm -6.0184 0.1518 -1.3459
Tm -2.8977 0.7529 -2.4795
Os 0.0000 0.0000 0.0000
Pb -3.1449 -0.6057 1.1421
O -2.5280 -1.2809 -3.3398
O -8.2116 0.3354 -2.1877
O -2.7703 2.8823 -1.7992
O -6.3881 2.1856 -0.4856
O -0.7045 0.5694 -1.6377
O -6.1458 -1.9776 -2.0261
O -4.9497 0.8472 -3.0568
O -3.9664 0.0576 -0.7686
```

Computed properties:
energy relative to the elements, uncorrected = -24.812 eV/f.u.
DOS(E_F) = 1.85 states/eV/cell

=====

Among the records above, which one has the highest DOS(E_F)? TmOs2PbO8

=====

Which value of energy relative to the elements, uncorrected does entry 4 give? -24.812 eV/f.u.

=====

Which of these has the lowest DOS(E_F)? Tm2OsPbO8

=====

What did the second record say?
Density functional theory data (PBE-GGA) for a relaxed structure of TmOsPb2O6.

extended XYZ file:
```
20
Lattice="5.8566 0.0000 -0.0353 0.0000 5.8472 0.0000 0.0009 0.0000 8.2496" Properties=species:S:1:pos:R:3 pbc="T T T"
Tm 2.9283 0.0000 -0.0176
Tm 0.0005 2.9236 4.1248
Os 2.9288 0.0000 4.1072
Os 0.0000 2.9236 0.0000
Pb 0.0518 5.7178 2.0460
Pb 2.9806 3.0530 6.1532
Pb 5.8058 0.1294 6.1683
Pb 2.8770 2.7942 2.0612
O 1.5345 4.1508 0.3093
O 4.4633 4.6201 4.4165
O 4.3230 1.6964 7.9050
O 1.3942 1.2272 3.7978
O 1.7216 4.2943 3.8068
O 4.6504 4.4766 7.9140
O 4.1360 1.5529 4.4076
O 1.2072 1.3707 0.3004
O 5.4500 2.9892 1.9076
O 2.5222 5.7817 6.0500
O 0.4075 2.8581 6.3068
O 3.3354 0.0655 2.1643
```

Computed properties:
energy relative to the elements, uncorrected = -16.939 eV/f.u.
DOS(E_F) = 4.39 states/eV/cell